## KPtCl (PBE)

Data for a relaxed KPtCl crystal.

Lattice parameters (Å, degrees): 3.7373 5.4420 8.7934 71.97 77.73 90.00
Fractional coordinates of all 6 atoms:
1 K 0.4254 0.4254 0.1492
2 K 0.6769 0.6769 0.6462
3 Pt 0.1635 0.1635 0.6731
4 Pt 0.5559 0.0559 0.8882
5 Cl 0.7696 0.2696 0.4608
6 Cl 0.9526 0.9526 0.0947

Properties
formation energy from raw total energies	-0.7711	eV/atom
V	82.9	Å³/f.u.

## KPt2Cl (PBE)

Data for a relaxed KPt2Cl crystal.

Lattice parameters (Å, degrees): 2.9117 2.9117 9.2389 90.00 90.00 90.00
Fractional coordinates of all 4 atoms:
1 K 0.5000 0.5000 0.7500
2 Pt 0.0000 0.0000 0.0352
3 Pt 0.0000 0.0000 0.4648
4 Cl 0.5000 0.5000 0.2500

Properties
formation energy from raw total energies	0.5302	eV/atom
V	78.3	Å³/f.u.